Record 1
The following is a PBE-GGA calculation of an optimized crystal structure of RePt2Br, from Alexandria via LeMat-Bulk.

Properties
energy above the lowest structure with this stoichiometry	84	meV per atom
total magnetization	0.0	μB per formula unit
formation energy (no corrections)	0.3101	eV/atom
DOS at the Fermi energy	2.12	states/eV/cell
total energy	-6.24	eV/atom

Cell: 2.8662 2.8662 8.5813 Å, 90.00 90.00 90.00°
Element x y z (fractional)
Re1 0.5000 0.5000 0.2500
Br1 0.5000 0.5000 0.7500
Pt1 0.0000 0.0000 0.0393
Pt2 0.0000 0.0000 0.4607



Record 2
The following is a PBE-GGA calculation of an optimized crystal structure of TbSmOsPd, from Alexandria via LeMat-Bulk.

Properties
total magnetization	0.0	μB per formula unit
energy relative to the elements	-451	meV/atom
DOS at the Fermi energy	2.63	states/eV/cell
total energy	-6.89	eV/atom

Cell: 4.9394 4.9394 4.9394 Å, 60.00 60.00 60.00°
Element x y z (fractional)
Tb1 0.2500 0.2500 0.2500
Os1 0.5000 0.5000 0.5000
Pd1 0.0000 0.0000 0.0000
Sm1 0.7500 0.7500 0.7500



Record 3
The following is a PBE-GGA calculation of an optimized crystal structure of Mg2TlPt9, from Alexandria via LeMat-Bulk.

Properties
total magnetization	0.0	μB per formula unit
energy relative to the elements	-411	meV/atom
DOS at the Fermi energy	11.36	states/eV/cell
total energy	-5.40	eV/atom

Cell: 3.9892 3.9892 12.1357 Å, 90.00 90.00 90.00°
Element x y z (fractional)
Mg1 0.0000 0.0000 0.3375
Mg2 0.0000 0.0000 0.6625
Tl1 0.0000 0.0000 0.0000
Pt1 0.5000 0.5000 0.0000
Pt2 0.5000 0.5000 0.3392
Pt3 0.5000 0.5000 0.6608
Pt4 0.5000 0.0000 0.1782
Pt5 0.5000 0.0000 0.5000
Pt6 0.5000 0.0000 0.8218
Pt7 0.0000 0.5000 0.1782
Pt8 0.0000 0.5000 0.5000
Pt9 0.0000 0.5000 0.8218



Record 4
The following is a PBE-GGA calculation of an optimized crystal structure of Ac2TiAuO6, from Alexandria via LeMat-Bulk.

Properties
total magnetization	0.0	μB per formula unit
formation energy (no corrections)	-2.4673	eV/atom
DOS at the Fermi energy	2.81	states/eV/cell
total energy	-7.38	eV/atom

Cell: 4.4471 5.8672 5.8672 Å, 90.00 90.00 90.00°
Element x y z (fractional)
Ac1 0.0335 0.5000 0.0000
Ac2 0.0335 0.0000 0.5000
Ti1 0.6022 0.0000 0.0000
Au1 0.6063 0.5000 0.5000
O1 0.7136 0.2255 0.2255
O2 0.7136 0.2255 0.7745
O3 0.1212 0.5000 0.5000
O4 0.1958 0.0000 0.0000
O5 0.7136 0.7745 0.7745
O6 0.7136 0.7745 0.2255



Record 5
The following is a PBE-GGA calculation of an optimized crystal structure of K4HgP2, from Alexandria via LeMat-Bulk.

Properties
total magnetization	0.0	μB per formula unit
energy relative to the elements	-374	meV/atom
total energy	-2.59	eV/atom

Cell: 9.6723 9.6723 9.6723 Å, 34.19 34.19 34.19°
Element x y z (fractional)
Hg1 0.0000 0.0000 0.0000
K1 0.7928 0.7928 0.7928
K2 0.2072 0.2072 0.2072
K3 0.6088 0.6088 0.6088
K4 0.3912 0.3912 0.3912
P1 0.9113 0.9113 0.9113
P2 0.0887 0.0887 0.0887



Record 6
The following is a PBE-GGA calculation of an optimized crystal structure of YIn2Pt9, from Alexandria via LeMat-Bulk.

Properties
total magnetization	0.0	μB per formula unit
energy relative to the elements	-582	meV/atom
DOS at the Fermi energy	13.23	states/eV/cell
total energy	-6.11	eV/atom

Cell: 4.0816 4.0816 12.1893 Å, 90.00 90.00 90.00°
Element x y z (fractional)
Y1 0.0000 0.0000 0.0000
In1 0.0000 0.0000 0.3364
In2 0.0000 0.0000 0.6636
Pt1 0.5000 0.5000 0.0000
Pt2 0.5000 0.5000 0.3358
Pt3 0.5000 0.5000 0.6642
Pt4 0.5000 0.0000 0.1716
Pt5 0.5000 0.0000 0.5000
Pt6 0.5000 0.0000 0.8284
Pt7 0.0000 0.5000 0.1716
Pt8 0.0000 0.5000 0.5000
Pt9 0.0000 0.5000 0.8284



> What is the total magnetization in the fifth record?

0.0 μB per formula unit